(one)
A relaxed structure of GaGeOs3, computed with PBE-GGA.

The value obtained for the spin magnetization is 0.167 μB per atom. The density of states at the Fermi level comes out at 4.55 states/eV/cell. Its symmetry is Pm-3m.

abc: 4.516 4.516 4.516
angles: 90.00 90.00 90.00
Last column: magnetic moment on the atom in μB.
Positions (direct):
Ge1 0.000 0.000 0.000  -0.02
Os1 0.000 0.500 0.000  0.26
Os2 0.000 0.000 0.500  0.28
Os3 0.500 0.000 0.000  0.28
Ga1 0.500 0.500 0.500  -0.02

***

(two)
A relaxed structure of GaGeOs3, computed with PBE-GGA.

The value obtained for the spin magnetization is 0.220 μB per atom. The density of states at the Fermi level comes out at 7.45 states/eV/cell. Its symmetry is Pm-3m.

abc: 4.529 4.529 4.529
angles: 90.00 90.00 90.00
Last column: magnetic moment on the atom in μB.
Positions (direct):
Ge1 0.500 0.500 0.500  0.00
Os1 0.000 0.500 0.000  0.33
Os2 0.000 0.000 0.500  0.38
Os3 0.500 0.000 0.000  0.34
Ga1 0.000 0.000 0.000  -0.02

***

What should be chosen as the most stable of them? Choose (one).

***

(one)
A relaxed structure of GaGeP, computed with PBE-GGA.

The value obtained for the spin magnetization is 0.000 μB per atom. The density of states at the Fermi level comes out at 1.44 states/eV/cell. Its symmetry is Cmc2_1.

abc: 3.549 4.925 7.870
angles: 90.00 103.03 90.00
Positions (direct):
Ge1 0.336 0.273 0.673
Ge2 0.664 0.773 0.327
P1 0.081 0.581 0.161
P2 0.919 0.081 0.839
Ga1 0.171 0.188 0.343
Ga2 0.829 0.688 0.657

***

(two)
A relaxed structure of GaGeP, computed with PBE-GGA.

The value obtained for the spin magnetization is 0.000 μB per atom. The density of states at the Fermi level comes out at 1.88 states/eV/cell. Its symmetry is P1.

abc: 3.525 5.766 7.185
angles: 107.43 90.10 107.53
Positions (direct):
Ga1 0.597 0.627 0.248
Ga2 0.248 0.941 0.931
Ge1 0.823 0.086 0.445
Ge2 0.906 0.252 0.816
P1 0.386 0.213 0.281
P2 0.574 0.589 0.908

***

What should be chosen as the most stable of them? Choose (two).

***

(one)
A relaxed structure of Pa2GaGe, computed with PBE-GGA.

The value obtained for the spin magnetization is 0.000 μB per atom. The density of states at the Fermi level comes out at 15.60 states/eV/cell. Its symmetry is P2_1/m.

abc: 4.065 5.786 8.393
angles: 111.32 90.00 90.00
Positions (direct):
Pa1 0.750 0.218 0.427
Pa2 0.250 0.782 0.573
Pa3 0.250 0.785 0.069
Pa4 0.750 0.215 0.931
Ga1 0.750 0.666 0.291
Ga2 0.250 0.334 0.709
Ge1 0.250 0.336 0.208
Ge2 0.750 0.664 0.792

***

(two)
A relaxed structure of Pa2GaGe, computed with PBE-GGA.

The value obtained for the spin magnetization is 0.430 μB per atom. The density of states at the Fermi level comes out at 9.30 states/eV/cell. Its symmetry is Fm-3m.

abc: 5.007 5.007 5.007
angles: 60.00 60.00 60.00
Last column: magnetic moment on the atom in μB.
Positions (direct):
Ge1 0.500 0.500 0.500  0.04
Pa1 0.250 0.250 0.250  0.62
Pa2 0.750 0.750 0.750  0.62
Ga1 0.000 0.000 0.000  0.06

***

(three)
A relaxed structure of Pa2GaGe, computed with PBE-GGA.

The value obtained for the spin magnetization is 0.184 μB per atom. The density of states at the Fermi level comes out at 7.05 states/eV/cell. Its symmetry is P4/mmm.

abc: 4.148 4.572 4.572
angles: 90.00 90.00 90.00
Last column: magnetic moment on the atom in μB.
Positions (direct):
Ge1 0.500 0.500 0.500  -0.01
Pa1 0.000 0.000 0.500  0.32
Pa2 0.000 0.500 0.000  0.32
Ga1 0.500 0.000 0.000  0.00

***

What should be chosen as the most stable of them? Choose (three).

***

(one)
A relaxed structure of GaGe2Pb, computed with PBE-GGA.

The value obtained for the spin magnetization is 0.000 μB per atom. The density of states at the Fermi level comes out at 1.65 states/eV/cell. Its symmetry is P4/mmm.

abc: 3.472 3.472 7.421
angles: 90.00 90.00 90.00
Positions (direct):
Pb1 0.500 0.500 0.500
Ge1 0.000 0.000 0.801
Ge2 0.000 0.000 0.199
Ga1 0.500 0.500 0.000

***

(two)
A relaxed structure of GaGe2Pb, computed with PBE-GGA.

The value obtained for the spin magnetization is 0.000 μB per atom. The density of states at the Fermi level comes out at 3.80 states/eV/cell. Its symmetry is I-42d.

abc: 5.967 5.967 7.604
angles: 66.90 66.90 90.00
Positions (direct):
Pb1 0.000 0.000 0.000
Pb2 0.750 0.250 0.500
Ge1 0.585 0.125 0.250
Ge2 0.165 0.625 0.250
Ge3 0.375 0.415 0.750
Ge4 0.875 0.835 0.750
Ga1 0.500 0.500 0.000
Ga2 0.250 0.750 0.500

***

What should be chosen as the most stable of them? Choose (two).

***

(one)
A relaxed structure of GaGePd3, computed with PBE-GGA.

The value obtained for the spin magnetization is 0.000 μB per atom. The density of states at the Fermi level comes out at 3.91 states/eV/cell. Its symmetry is Pm-3m.

abc: 4.643 4.643 4.643
angles: 90.00 90.00 90.00
Positions (direct):
Ge1 0.000 0.000 0.000
Ga1 0.500 0.500 0.500
Pd1 0.000 0.500 0.000
Pd2 0.000 0.000 0.500
Pd3 0.500 0.000 0.000

***

(two)
A relaxed structure of GaGePd3, computed with PBE-GGA.

The value obtained for the spin magnetization is 0.000 μB per atom. The density of states at the Fermi level comes out at 4.08 states/eV/cell. Its symmetry is Amm2.

abc: 2.952 8.192 8.192
angles: 57.18 90.00 89.99
Positions (direct):
Ga1 0.363 0.694 0.746
Ga2 0.864 0.195 0.246
Ge1 0.363 0.695 0.246
Ge2 0.363 0.193 0.747
Pd1 0.863 0.397 0.837
Pd2 0.863 0.991 0.655
Pd3 0.863 0.603 0.043
Pd4 0.364 0.049 0.101
Pd5 0.863 0.785 0.450
Pd6 0.364 0.340 0.392

***

What should be chosen as the most stable of them? Choose (two).

***

(one)
A relaxed structure of GaGePd2, computed with PBE-GGA.

The value obtained for the spin magnetization is 0.000 μB per atom. The density of states at the Fermi level comes out at 1.31 states/eV/cell. Its symmetry is R-3m.

abc: 2.985 2.985 8.344
angles: 79.70 79.70 60.00
Positions (direct):
Ge1 0.000 0.000 0.000
Ga1 0.500 0.500 0.500
Pd1 0.751 0.751 0.746
Pd2 0.249 0.249 0.254

***

(two)
A relaxed structure of GaGePd2, computed with PBE-GGA.

The value obtained for the spin magnetization is 0.000 μB per atom. The density of states at the Fermi level comes out at 1.20 states/eV/cell. Its symmetry is P4/mmm.

abc: 3.113 3.113 6.388
angles: 90.00 90.00 90.00
Positions (direct):
Ge1 0.500 0.500 0.500
Ga1 0.500 0.500 0.000
Pd1 0.000 0.000 0.765
Pd2 0.000 0.000 0.235

***

What should be chosen as the most stable of them? Choose (two).